[1]
Compound: Li2Zr
Source: Alexandria
Functional: PBE-GGA
Structure: relaxed

Lattice parameters (Å, degrees): 7.3669 7.3669 7.3669 157.19 157.19 32.48
Fractional coordinates of all 3 atoms:
1 Li 0.3277 0.3277 0.0000
2 Li 0.6723 0.6723 0.0000
3 Zr 0.0000 0.0000 0.0000

Summary:
The calculation puts the calculated density at 2.906 Mg/m³. The crystal system is tetragonal. The energy of formation comes out at 5.06 kcal/mol of atoms. The energy above the most stable polymorph in this dataset is 0.064 eV per atom. Its total magnetization is 0.00 μB/f.u.



[2]
Compound: Li2Zr
Source: Alexandria
Functional: PBE-GGA
Structure: relaxed

Lattice parameters (Å, degrees): 4.6412 4.6412 4.6412 60.00 60.00 60.00
Fractional coordinates of all 3 atoms:
1 Li 0.7500 0.7500 0.7500
2 Li 0.2500 0.2500 0.2500
3 Zr 0.0000 0.0000 0.0000

Summary:
The calculation puts the calculated density at 2.469 Mg/m³. The crystal system is cubic. The energy of formation comes out at 26.59 kcal/mol of atoms. The energy above the most stable polymorph in this dataset is 0.998 eV per atom. Its total magnetization is 0.98 μB/f.u.



[3]
Compound: Li2Zr
Source: Alexandria
Functional: PBE-GGA
Structure: relaxed

Lattice parameters (Å, degrees): 6.3584 6.3584 5.0315 90.00 90.00 120.00
Fractional coordinates of all 9 atoms:
1 Li 0.2122 0.0000 0.0000
2 Li 0.0000 0.2122 0.0000
3 Li 0.7878 0.7878 0.0000
4 Li 0.5120 0.0000 0.5000
5 Li 0.0000 0.5120 0.5000
6 Li 0.4880 0.4880 0.5000
7 Zr 0.3333 0.6667 0.0000
8 Zr 0.6667 0.3333 0.0000
9 Zr 0.0000 0.0000 0.5000

Summary:
The calculation puts the calculated density at 2.972 Mg/m³. The crystal system is hexagonal. The energy of formation comes out at 15.31 kcal/mol of atoms. The energy above the most stable polymorph in this dataset is 0.509 eV per atom. Its total magnetization is 0.17 μB/f.u.



[4]
Compound: LiZr3
Source: Alexandria
Functional: PBE-GGA
Structure: relaxed

Lattice parameters (Å, degrees): 5.8972 5.8972 5.8972 117.26 117.26 117.26
Fractional coordinates of all 4 atoms:
1 Li 0.0000 0.0000 0.0000
2 Zr 0.5000 0.5000 0.0000
3 Zr 0.0000 0.5000 0.5000
4 Zr 0.5000 0.0000 0.5000

Summary:
The calculation puts the calculated density at 5.383 Mg/m³. The crystal system is trigonal. The energy of formation comes out at 5.20 kcal/mol of atoms. The energy above the most stable polymorph in this dataset is 0.113 eV per atom. Its total magnetization is 0.00 μB/f.u.



[5]
Compound: LiZr4
Source: Alexandria
Functional: PBE-GGA
Structure: relaxed

Lattice parameters (Å, degrees): 5.3064 5.3064 5.3064 109.47 109.47 109.47
Fractional coordinates of all 5 atoms:
1 Li 0.0000 0.0000 0.0000
2 Zr 0.5000 0.0000 0.0000
3 Zr 0.5000 0.5000 0.5000
4 Zr 0.0000 0.5000 0.0000
5 Zr 0.0000 0.0000 0.5000

Summary:
The calculation puts the calculated density at 5.368 Mg/m³. The crystal system is cubic. The energy of formation comes out at 19.87 kcal/mol of atoms. The energy above the most stable polymorph in this dataset is 0.142 eV per atom. Its total magnetization is 0.00 μB/f.u.



[6]
Compound: LiZr5
Source: Alexandria
Functional: PBE-GGA
Structure: relaxed

Lattice parameters (Å, degrees): 6.0373 6.0373 4.9106 90.00 90.00 120.00
Fractional coordinates of all 6 atoms:
1 Li 0.0000 0.0000 0.0000
2 Zr 0.3333 0.6667 0.0000
3 Zr 0.6667 0.3333 0.0000
4 Zr 0.5000 0.0000 0.5000
5 Zr 0.0000 0.5000 0.5000
6 Zr 0.5000 0.5000 0.5000

Summary:
The calculation puts the calculated density at 4.961 Mg/m³. The crystal system is hexagonal. The energy of formation comes out at 13.42 kcal/mol of atoms. The energy above the most stable polymorph in this dataset is 0.468 eV per atom. Its total magnetization is 0.00 μB/f.u.



[7]
Compound: LiZr3
Source: Alexandria
Functional: PBE-GGA
Structure: relaxed

Lattice parameters (Å, degrees): 4.3710 4.3710 5.4266 113.75 113.75 90.00
Fractional coordinates of all 4 atoms:
1 Zr 0.7500 0.2500 0.5000
2 Zr 0.2500 0.7500 0.5000
3 Zr 0.5000 0.5000 0.0000
4 Li 0.0000 0.0000 0.0000

Summary:
The calculation puts the calculated density at 5.468 Mg/m³. The crystal system is tetragonal. The energy of formation comes out at 4.01 kcal/mol of atoms. The energy above the most stable polymorph in this dataset is 0.061 eV per atom. Its total magnetization is 0.00 μB/f.u.



[8]
Compound: LiZr3
Source: Alexandria
Functional: PBE-GGA
Structure: relaxed

Lattice parameters (Å, degrees): 3.2306 3.8494 6.8929 90.00 90.00 90.00
Fractional coordinates of all 4 atoms:
1 Li 0.0000 0.0000 0.0000
2 Zr 0.5000 0.5000 0.7554
3 Zr 0.0000 0.0000 0.5000
4 Zr 0.5000 0.5000 0.2446

Summary:
The calculation puts the calculated density at 5.436 Mg/m³. The crystal system is orthorhombic. The energy of formation comes out at 3.87 kcal/mol of atoms. The energy above the most stable polymorph in this dataset is 0.055 eV per atom. Its total magnetization is 0.00 μB/f.u.



[9]
Compound: Li2Zr
Source: Alexandria
Functional: PBE-GGA
Structure: relaxed

Lattice parameters (Å, degrees): 15.0920 15.0920 15.0920 169.04 169.04 15.53
Fractional coordinates of all 6 atoms:
1 Li 0.5825 0.5825 0.0000
2 Li 0.1675 0.6675 0.5000
3 Li 0.4175 0.4175 0.0000
4 Li 0.3325 0.8325 0.5000
5 Zr 0.0000 0.0000 0.0000
6 Zr 0.7500 0.2500 0.5000

Summary:
The calculation puts the calculated density at 2.807 Mg/m³. The crystal system is tetragonal. The energy of formation comes out at 5.73 kcal/mol of atoms. The energy above the most stable polymorph in this dataset is 0.093 eV per atom. Its total magnetization is 0.00 μB/f.u.



[10]
Compound: Li2Zr
Source: Alexandria
Functional: PBE-GGA
Structure: relaxed

Lattice parameters (Å, degrees): 5.2842 5.2842 5.2842 149.79 127.63 61.66
Fractional coordinates of all 3 atoms:
1 Li 0.3325 0.3325 0.0000
2 Li 0.6675 0.6675 0.0000
3 Zr 0.0000 0.0000 0.0000

Summary:
The calculation puts the calculated density at 2.995 Mg/m³. The crystal system is orthorhombic. The energy of formation comes out at 7.59 kcal/mol of atoms. The energy above the most stable polymorph in this dataset is 0.174 eV per atom. Its total magnetization is 0.00 μB/f.u.



[11]
Compound: LiZr3
Source: Alexandria
Functional: PBE-GGA
Structure: relaxed

Lattice parameters (Å, degrees): 3.1463 3.1463 10.6793 90.00 90.00 120.00
Fractional coordinates of all 4 atoms:
1 Li 0.0000 0.0000 0.0000
2 Zr 0.0000 0.0000 0.5000
3 Zr 0.6667 0.3333 0.2582
4 Zr 0.6667 0.3333 0.7418

Summary:
The calculation puts the calculated density at 5.090 Mg/m³. The crystal system is hexagonal. The energy of formation comes out at 2.77 kcal/mol of atoms. The energy above the most stable polymorph in this dataset is 0.007 eV per atom. Its total magnetization is 0.00 μB/f.u.



[12]
Compound: LiZr3
Source: Alexandria
Functional: PBE-GGA
Structure: relaxed

Lattice parameters (Å, degrees): 5.4424 5.4424 3.0870 90.00 90.00 108.08
Fractional coordinates of all 4 atoms:
1 Li 0.0000 0.0000 0.0000
2 Zr 0.0000 0.5000 0.5000
3 Zr 0.5000 0.0000 0.5000
4 Zr 0.5000 0.5000 0.0000

Summary:
The calculation puts the calculated density at 5.361 Mg/m³. The crystal system is orthorhombic. The energy of formation comes out at 4.50 kcal/mol of atoms. The energy above the most stable polymorph in this dataset is 0.082 eV per atom. Its total magnetization is 0.00 μB/f.u.



[13]
Compound: Lu
Source: Alexandria
Functional: PBE-GGA
Structure: relaxed

Lattice parameters (Å, degrees): 3.3786 3.3786 3.3786 109.47 109.47 109.47
Fractional coordinates of all 1 atoms:
1 Lu 0.0000 0.0000 0.0000

Summary:
The calculation puts the calculated density at 9.787 Mg/m³. The crystal system is cubic. The energy of formation comes out at 3.13 kcal/mol of atoms. The energy above the most stable polymorph in this dataset is 0.136 eV per atom. Its total magnetization is 0.00 μB/f.u.



[14]
Compound: Lu
Source: Alexandria
Functional: PBE-GGA
Structure: relaxed

Lattice parameters (Å, degrees): 8.5187 8.5187 8.5187 23.64 23.64 23.64
Fractional coordinates of all 3 atoms:
1 Lu 0.0000 0.0000 0.0000
2 Lu 0.2218 0.2218 0.2218
3 Lu 0.7782 0.7782 0.7782

Summary:
The calculation puts the calculated density at 9.986 Mg/m³. The crystal system is trigonal. The energy of formation comes out at 0.17 kcal/mol of atoms. The energy above the most stable polymorph in this dataset is 0.008 eV per atom. Its total magnetization is 0.00 μB/f.u.



[15]
Compound: Lu
Source: Alexandria
Functional: PBE-GGA
Structure: relaxed

Lattice parameters (Å, degrees): 3.4731 3.4731 11.1391 90.00 90.00 120.00
Fractional coordinates of all 4 atoms:
1 Lu 0.0000 0.0000 0.0000
2 Lu 0.0000 0.0000 0.5000
3 Lu 0.6667 0.3333 0.7500
4 Lu 0.3333 0.6667 0.2500

Summary:
The calculation puts the calculated density at 9.988 Mg/m³. The crystal system is hexagonal. The energy of formation comes out at 0.39 kcal/mol of atoms. The energy above the most stable polymorph in this dataset is 0.017 eV per atom. Its total magnetization is 0.00 μB/f.u.



[16]
Compound: Lu
Source: Alexandria
Functional: PBE-GGA
Structure: relaxed

Lattice parameters (Å, degrees): 3.4271 5.4347 5.4347 120.00 90.00 90.00
Fractional coordinates of all 3 atoms:
1 Lu 0.5000 0.6667 0.3333
2 Lu 0.5000 0.3333 0.6667
3 Lu 0.0000 0.0000 0.0000

Summary:
The calculation puts the calculated density at 9.942 Mg/m³. The crystal system is hexagonal. The energy of formation comes out at 1.98 kcal/mol of atoms. The energy above the most stable polymorph in this dataset is 0.086 eV per atom. Its total magnetization is 0.00 μB/f.u.



[17]
Compound: Lu3Mg
Source: Alexandria
Functional: PBE-GGA
Structure: relaxed

Lattice parameters (Å, degrees): 5.4876 6.8530 6.8530 60.00 90.00 90.00
Fractional coordinates of all 8 atoms:
1 Mg 0.7500 0.6667 0.6667
2 Mg 0.2500 0.3333 0.3333
3 Lu 0.7500 0.6635 0.1683
4 Lu 0.7500 0.1683 0.6635
5 Lu 0.7500 0.1683 0.1683
6 Lu 0.2500 0.8317 0.8317
7 Lu 0.2500 0.8317 0.3365
8 Lu 0.2500 0.3365 0.8317

Summary:
The calculation puts the calculated density at 8.173 Mg/m³. The crystal system is hexagonal. The energy of formation comes out at 0.30 kcal/mol of atoms. Its total magnetization is 0.00 μB/f.u.



[18]
Compound: Lu3Mg
Source: Alexandria
Functional: PBE-GGA
Structure: relaxed

Lattice parameters (Å, degrees): 3.4817 3.4817 9.2370 90.00 90.00 90.00
Fractional coordinates of all 4 atoms:
1 Lu 0.5000 0.5000 0.7576
2 Lu 0.0000 0.0000 0.5000
3 Lu 0.5000 0.5000 0.2424
4 Mg 0.0000 0.0000 0.0000

Summary:
The calculation puts the calculated density at 8.145 Mg/m³. The crystal system is tetragonal. The energy of formation comes out at -0.39 kcal/mol of atoms. Its total magnetization is 0.00 μB/f.u.



[19]
Compound: Lu3Mg
Source: Alexandria
Functional: PBE-GGA
Structure: relaxed

Lattice parameters (Å, degrees): 5.3936 5.3936 5.3936 60.00 60.00 60.00
Fractional coordinates of all 4 atoms:
1 Mg 0.5000 0.5000 0.5000
2 Lu 0.0000 0.0000 0.0000
3 Lu 0.7500 0.7500 0.7500
4 Lu 0.2500 0.2500 0.2500

Summary:
The calculation puts the calculated density at 8.220 Mg/m³. The crystal system is cubic. The energy of formation comes out at 1.35 kcal/mol of atoms. Its total magnetization is 0.00 μB/f.u.



[20]
Compound: LuMg3
Source: Alexandria
Functional: PBE-GGA
Structure: relaxed

Lattice parameters (Å, degrees): 3.5741 5.3010 6.1343 115.60 106.94 90.00
Fractional coordinates of all 4 atoms:
1 Mg 0.2367 0.6489 0.4734
2 Mg 0.5000 0.4218 0.0000
3 Mg 0.7633 0.1754 0.5266
4 Lu 0.0000 0.9205 0.0000

Summary:
The calculation puts the calculated density at 4.150 Mg/m³. The crystal system is orthorhombic. The energy of formation comes out at 0.57 kcal/mol of atoms. Its total magnetization is 0.00 μB/f.u.